[1]
Entry from the Alexandria database: a crystal of AsOs relaxed with PBEsol (SCAN).

It has space group Cmmm (No. 65), with a = 2.913 Å, b = 5.075 Å, c = 4.122 Å, α = 90.00°, β = 90.00° and γ = 90.00°. The asymmetric unit holds As at (0.000, 0.000, 0.000) and Os at (0.000, 0.500, 0.500).

Its formation energy is 0.799 eV/atom. The value obtained for the total moment is 0.00 μB/f.u. Its energy is -45.236 eV per atom.

---

[2]
Entry from the Alexandria database: a crystal of Ta2Mn relaxed with PBEsol (SCAN).

It has space group I4/mmm (No. 139), with a = 3.070 Å, b = 3.070 Å, c = 9.663 Å, α = 90.00°, β = 90.00° and γ = 90.00°. The asymmetric unit holds Ta at (0.000, 0.000, 0.155) and Mn at (0.000, 0.000, 0.500).

Its formation energy is -0.176 eV/atom. The value obtained for the total moment is 0.00 μB/f.u. Its energy is -50.650 eV per atom.

---

[3]
Entry from the Alexandria database: a crystal of OsPd3Se relaxed with PBEsol (SCAN).

It has space group Pm-3m (No. 221), with a = 4.725 Å, b = 4.725 Å, c = 4.725 Å, α = 90.00°, β = 90.00° and γ = 90.00°. The asymmetric unit holds Os at (0.000, 0.000, 0.000), Pd at (0.000, 0.000, 0.500) and Se at (0.500, 0.500, 0.500).

Its formation energy (no corrections) is 1351 meV per atom. The value obtained for the total moment is 0.00 μB/f.u. Its energy is -36.706 eV per atom.

---

[4]
Entry from the Alexandria database: a crystal of DyClO relaxed with PBEsol (SCAN).

It has space group Pmmn (No. 59, origin choice 2), with a = 3.736 Å, b = 4.127 Å, c = 8.627 Å, α = 90.00°, β = 90.00° and γ = 90.00°. The asymmetric unit holds Dy at (0.250, 0.250, 0.122), Cl at (0.250, 0.750, 0.659) and O at (0.250, 0.750, 0.029).

Its formation energy (no corrections) is -3358 meV per atom. The value obtained for the total moment is 0.00 μB/f.u. Its energy is -24.027 eV per atom.

---

[5]
Entry from the Alexandria database: a crystal of Ni24Ir5 relaxed with PBEsol (SCAN).

It has space group I-43m (No. 217), with a = 8.629 Å, b = 8.629 Å, c = 8.629 Å, α = 90.00°, β = 90.00° and γ = 90.00°. The asymmetric unit holds Ni at (0.043, 0.362, 0.638), Ni at (0.093, 0.093, 0.716), Ir at (0.000, 0.000, 0.000) and Ir at (0.181, 0.181, 0.181).

Its formation energy is 0.079 eV/atom. The value obtained for the total moment is 23.39 μB/f.u. Its energy is -25.565 eV per atom.

---

[6]
Entry from the Alexandria database: a crystal of Cd2TcHg relaxed with PBEsol (SCAN).

It has space group Cmmm (No. 65), with a = 5.801 Å, b = 8.581 Å, c = 2.904 Å, α = 90.00°, β = 90.00° and γ = 90.00°. The asymmetric unit holds Cd at (0.250, 0.250, 0.000), Tc at (0.000, 0.000, 0.500) and Hg at (0.000, 0.500, 0.500).

Its formation energy is 0.346 eV/atom. The value obtained for the total moment is 0.00 μB/f.u. Its energy is -40.668 eV per atom.

---

Repeat the first record exactly.
Entry from the Alexandria database: a crystal of AsOs relaxed with PBEsol (SCAN).

It has space group Cmmm (No. 65), with a = 2.913 Å, b = 5.075 Å, c = 4.122 Å, α = 90.00°, β = 90.00° and γ = 90.00°. The asymmetric unit holds As at (0.000, 0.000, 0.000) and Os at (0.000, 0.500, 0.500).

Its formation energy is 0.799 eV/atom. The value obtained for the total moment is 0.00 μB/f.u. Its energy is -45.236 eV per atom.

---

> Look up the energy of the sixth one.

-40.668 eV per atom

---

> total moment of number 4 (DyClO)?

0.00 μB/f.u.